# 1
# SmSnRh2, optimized geometry, DFT PBE
data_SmSnRh2
_cell_length_a 3.471
_cell_length_b 3.471
_cell_length_c 6.416
_cell_angle_alpha 90.00
_cell_angle_beta 90.00
_cell_angle_gamma 90.00
_symmetry_space_group_name_H-M 'P 4/m m m'
_symmetry_Int_Tables_number 123
_symmetry_space_group_name_Hall '-P 4 2'
loop_
_atom_site_label
_atom_site_type_symbol
_atom_site_fract_x
_atom_site_fract_y
_atom_site_fract_z
Sm1 Sm 0.000 0.000 0.000
Sn1 Sn 0.000 0.000 0.500
Rh1 Rh 0.500 0.500 0.275
# - calculated formation energy (kcal/mol of atoms) = -13.517
# - D(E_F) (states/eV/f.u.) = 2.2
# - final energy (eV/atom) = -6.44

# 2
# Y2AsCl, optimized geometry, DFT PBE
data_Y2AsCl
_cell_length_a 4.055
_cell_length_b 4.055
_cell_length_c 5.682
_cell_angle_alpha 90.00
_cell_angle_beta 90.00
_cell_angle_gamma 90.00
_symmetry_space_group_name_H-M 'P 4/m m m'
_symmetry_Int_Tables_number 123
_symmetry_space_group_name_Hall '-P 4 2'
loop_
_atom_site_label
_atom_site_type_symbol
_atom_site_fract_x
_atom_site_fract_y
_atom_site_fract_z
Y1 Y 0.000 0.000 0.000
Y2 Y 0.500 0.500 0.500
As1 As 0.000 0.000 0.500
Cl1 Cl 0.500 0.500 0.000
# - energy relative to the elements, uncorrected (eV/f.u.) = -5.6
# - D(E_F) (states/eV/f.u.) = 2.0
# - final energy (eV/atom) = -6.25

# 3
# AcCu4Pd, optimized geometry, DFT PBE
data_AcCu4Pd
_cell_length_a 7.357
_cell_length_b 7.357
_cell_length_c 7.357
_cell_angle_alpha 90.00
_cell_angle_beta 90.00
_cell_angle_gamma 90.00
_symmetry_space_group_name_H-M 'F -4 3 m'
_symmetry_Int_Tables_number 216
_symmetry_space_group_name_Hall 'F -4 2 3'
loop_
_atom_site_label
_atom_site_type_symbol
_atom_site_fract_x
_atom_site_fract_y
_atom_site_fract_z
Ac1 Ac 0.000 0.000 0.000
Cu1 Cu 0.123 0.123 0.623
Pd1 Pd 0.250 0.250 0.250
# - calculated formation energy (kcal/mol of atoms) = -4.648
# - D(E_F) (states/eV/f.u.) = 3.4
# - final energy (eV/atom) = -4.48

# 4
# BaOsCl, optimized geometry, DFT PBE
data_BaOsCl
_cell_length_a 7.316
_cell_length_b 7.316
_cell_length_c 7.316
_cell_angle_alpha 90.00
_cell_angle_beta 90.00
_cell_angle_gamma 90.00
_symmetry_space_group_name_H-M 'F -4 3 m'
_symmetry_Int_Tables_number 216
_symmetry_space_group_name_Hall 'F -4 2 3'
loop_
_atom_site_label
_atom_site_type_symbol
_atom_site_fract_x
_atom_site_fract_y
_atom_site_fract_z
Ba1 Ba 0.000 0.000 0.000
Os1 Os 0.250 0.250 0.250
Cl1 Cl 0.000 0.000 0.500
# - energy relative to the elements, uncorrected (eV/f.u.) = 2.7
# - D(E_F) (states/eV/f.u.) = 4.1
# - final energy (eV/atom) = -4.09

# 5
# KCrS2, optimized geometry, DFT PBE
data_KCrS2
_cell_length_a 6.486
_cell_length_b 6.524
_cell_length_c 10.684
_cell_angle_alpha 90.00
_cell_angle_beta 114.27
_cell_angle_gamma 90.00
_symmetry_space_group_name_H-M 'P 1 2/c 1'
_symmetry_Int_Tables_number 13
loop_
_symmetry_equiv_pos_as_xyz
'x,y,z'
'-x,-y,-z'
'-x,y,-z+1/2'
'x,-y,z+1/2'
loop_
_atom_site_label
_atom_site_type_symbol
_atom_site_fract_x
_atom_site_fract_y
_atom_site_fract_z
K1 K 0.121 0.184 0.124
Cr1 Cr 0.488 0.425 0.875
S1 S 0.217 0.348 0.673
S2 S 0.449 0.258 0.432
# - energy relative to the elements, uncorrected (eV/f.u.) = -3.1
# - D(E_F) (states/eV/f.u.) = 2.5
# - final energy (eV/atom) = -5.52

# 6
# BeV3Co, optimized geometry, DFT PBE
data_BeV3Co
_cell_length_a 4.041
_cell_length_b 4.041
_cell_length_c 4.041
_cell_angle_alpha 90.00
_cell_angle_beta 90.00
_cell_angle_gamma 90.00
_symmetry_space_group_name_H-M 'P m -3 m'
_symmetry_Int_Tables_number 221
_symmetry_space_group_name_Hall '-P 4 2 3'
loop_
_atom_site_label
_atom_site_type_symbol
_atom_site_fract_x
_atom_site_fract_y
_atom_site_fract_z
Be1 Be 0.000 0.000 0.000
V1 V 0.000 0.000 0.500
Co1 Co 0.500 0.500 0.500
# - calculated formation energy (kcal/mol of atoms) = 17.920
# - D(E_F) (states/eV/f.u.) = 8.3
# - final energy (eV/atom) = -6.86

# 7
# LiHoAl, optimized geometry, DFT PBE
data_LiHoAl
_cell_length_a 4.506
_cell_length_b 3.169
_cell_length_c 5.238
_cell_angle_alpha 90.00
_cell_angle_beta 90.19
_cell_angle_gamma 90.00
_symmetry_space_group_name_H-M 'P 1 2/m 1'
_symmetry_Int_Tables_number 10
loop_
_symmetry_equiv_pos_as_xyz
'x,y,z'
'-x,-y,-z'
'-x,y,-z'
'x,-y,z'
loop_
_atom_site_label
_atom_site_type_symbol
_atom_site_fract_x
_atom_site_fract_y
_atom_site_fract_z
Li1 Li 0.000 0.000 0.000
Ho1 Ho 0.500 0.000 0.500
Al1 Al 0.500 0.500 0.000
# - calculated formation energy (kcal/mol of atoms) = 2.492
# - D(E_F) (states/eV/f.u.) = 2.5
# - final energy (eV/atom) = -3.30

# 8
# PmTmSe2, optimized geometry, DFT PBE
data_PmTmSe2
_cell_length_a 4.0573
_cell_length_b 4.0573
_cell_length_c 20.6284
_cell_angle_alpha 90.00
_cell_angle_beta 90.00
_cell_angle_gamma 120.00
_symmetry_space_group_name_H-M 'R -3 m'
_symmetry_Int_Tables_number 166
_symmetry_space_group_name_Hall '-R 3 2"'
loop_
_atom_site_label
_atom_site_type_symbol
_atom_site_fract_x
_atom_site_fract_y
_atom_site_fract_z
Pm1 Pm 0.0000 0.0000 0.0000
Tm1 Tm 0.0000 0.0000 0.5000
Se1 Se 0.0000 0.0000 0.2441
# - energy relative to the elements, uncorrected (eV/f.u.) = -7.0
# - D(E_F) (states/eV/f.u.) = 1.8
# - final energy (eV/atom) = -5.80

# 9
# Hf3TaCl, optimized geometry, DFT PBE
data_Hf3TaCl
_cell_length_a 5.188
_cell_length_b 5.188
_cell_length_c 5.188
_cell_angle_alpha 90.00
_cell_angle_beta 90.00
_cell_angle_gamma 90.00
_symmetry_space_group_name_H-M 'P m -3 m'
_symmetry_Int_Tables_number 221
_symmetry_space_group_name_Hall '-P 4 2 3'
loop_
_atom_site_label
_atom_site_type_symbol
_atom_site_fract_x
_atom_site_fract_y
_atom_site_fract_z
Hf1 Hf 0.000 0.000 0.500
Ta1 Ta 0.000 0.000 0.000
Cl1 Cl 0.500 0.500 0.500
# - energy relative to the elements, uncorrected (eV/f.u.) = 5.5
# - D(E_F) (states/eV/f.u.) = 8.2
# - final energy (eV/atom) = -7.61

# 10
# Ca3In2Au4, optimized geometry, DFT PBE
data_Ca3In2Au4
_cell_length_a 11.824
_cell_length_b 4.553
_cell_length_c 9.232
_cell_angle_alpha 90.00
_cell_angle_beta 117.20
_cell_angle_gamma 90.00
_symmetry_space_group_name_H-M 'C 1 2/m 1'
_symmetry_Int_Tables_number 12
loop_
_symmetry_equiv_pos_as_xyz
'x,y,z'
'-x,-y,-z'
'-x,y,-z'
'x,-y,z'
'x+1/2,y+1/2,z'
'-x+1/2,-y+1/2,-z'
'-x+1/2,y+1/2,-z'
'x+1/2,-y+1/2,z'
loop_
_atom_site_label
_atom_site_type_symbol
_atom_site_fract_x
_atom_site_fract_y
_atom_site_fract_z
Ca1 Ca 0.000 0.000 0.000
Ca2 Ca 0.136 0.500 0.697
In1 In 0.159 0.500 0.326
Au1 Au 0.075 0.000 0.416
Au2 Au 0.215 0.500 0.064
# - calculated formation energy (kcal/mol of atoms) = -15.370
# - D(E_F) (states/eV/f.u.) = 4.8
# - final energy (eV/atom) = -3.40

# 11
# Tb9Nd2Sm, optimized geometry, DFT PBE
data_Tb9Nd2Sm
_cell_length_a 5.071
_cell_length_b 5.071
_cell_length_c 15.204
_cell_angle_alpha 90.00
_cell_angle_beta 90.00
_cell_angle_gamma 90.00
_symmetry_space_group_name_H-M 'P 4/m m m'
_symmetry_Int_Tables_number 123
_symmetry_space_group_name_Hall '-P 4 2'
loop_
_atom_site_label
_atom_site_type_symbol
_atom_site_fract_x
_atom_site_fract_y
_atom_site_fract_z
Tb1 Tb 0.000 0.000 0.000
Tb2 Tb 0.000 0.000 0.333
Tb3 Tb 0.000 0.500 0.166
Tb4 Tb 0.000 0.500 0.500
Nd1 Nd 0.500 0.500 0.333
Sm1 Sm 0.500 0.500 0.000
# - calculated formation energy (kcal/mol of atoms) = 0.423
# - D(E_F) (states/eV/f.u.) = 18.2
# - final energy (eV/atom) = -4.64

# 12
# Zr2NiS4, optimized geometry, DFT PBE
data_Zr2NiS4
_cell_length_a 13.345
_cell_length_b 3.696
_cell_length_c 6.315
_cell_angle_alpha 90.00
_cell_angle_beta 118.22
_cell_angle_gamma 90.00
_symmetry_space_group_name_H-M 'C 1 m 1'
_symmetry_Int_Tables_number 8
loop_
_symmetry_equiv_pos_as_xyz
'x,y,z'
'x,-y,z'
'x+1/2,y+1/2,z'
'x+1/2,-y+1/2,z'
loop_
_atom_site_label
_atom_site_type_symbol
_atom_site_fract_x
_atom_site_fract_y
_atom_site_fract_z
Zr1 Zr 0.000 0.000 0.000
Zr2 Zr 0.006 0.500 0.518
Ni1 Ni 0.328 0.000 0.667
S1 S 0.130 0.500 0.971
S2 S 0.132 0.000 0.474
S3 S 0.372 0.500 0.539
S4 S 0.377 0.000 0.057
# - energy relative to the elements, uncorrected (eV/f.u.) = -9.4
# - D(E_F) (states/eV/f.u.) = 0.3
# - final energy (eV/atom) = -6.97